Entry 1:
Here is EuPaRuRh after structural relaxation from Alexandria. Energies are from GGA-PBE.

## Properties
Energy relative to the elements (meV/atom): -310.2
Total magnetization (μB/f.u.): 6.670
SG: F-43m (216)
Crystal system: cubic

Cell and atoms, written as extended XYZ:
```
4
Lattice="4.8846 0.0000 0.0000 2.4423 4.2302 0.0000 2.4423 1.4101 3.9882" Properties=species:S:1:pos:R:3 pbc="T T T"
Rh 2.4423 1.4101 0.9971
Ru 7.3269 4.2302 2.9912
Pa 0.0000 0.0000 0.0000
Eu 4.8846 2.8201 1.9941
```

***

Entry 2:
Here is Ca3Ac4Te8 after structural relaxation from Alexandria. Energies are from GGA-PBE.

## Properties
Total magnetization (μB/f.u.): 0.000
SG: C2/m (12)
Crystal system: monoclinic
Formation energy without anion corrections (eV/atom): -1.552

Cell and atoms, written as extended XYZ:
```
15
Lattice="8.1977 -0.1716 -4.4895 -5.2813 7.6418 -0.2442 -0.2177 0.1273 9.2890" Properties=species:S:1:pos:R:3 pbc="T T T"
Ac -0.1088 0.0636 4.6445
Ac 4.0989 -0.0858 -2.2448
Ac 0.0000 0.0000 0.0000
Ac -2.6406 3.8209 -0.1221
Te 0.1122 5.6347 -0.0516
Te 2.7354 1.9114 0.0538
Te 2.5865 1.9627 4.6068
Te -3.9901 5.7257 2.1866
Te -1.3525 2.0270 2.3162
Te -0.0366 5.6860 4.5015
Te -1.5088 2.0434 6.8582
Te 4.0513 5.5704 2.2391
Ca 3.9900 -0.0222 2.3997
Ca 1.3494 3.7987 2.2776
Ca 1.4582 3.7351 -2.3669
```

***

Entry 3:
Here is BaPb2I after structural relaxation from Alexandria. Energies are from GGA-PBE.

## Properties
Total magnetization (μB/f.u.): 0.000
SG: I-42d (122)
Crystal system: tetragonal
Formation energy without anion corrections (eV/atom): -0.230

Cell and atoms, written as extended XYZ:
```
8
Lattice="-9.6780 0.9160 -3.4934 -3.4067 -5.6323 7.9610 -6.9206 0.3589 3.9942" Properties=species:S:1:pos:R:3 pbc="T T T"
I -6.5424 -2.3581 2.2338
I -8.4348 -3.8158 7.0945
Ba -11.5705 -0.5416 1.3673
Ba 0.0000 0.0000 0.0000
Pb -10.1776 -1.6323 4.8588
Pb -5.2974 -3.2943 5.4551
Pb -7.9764 -0.0634 -0.1073
Pb -16.5592 -3.7247 6.7170
```

***

Entry 4:
Here is Sm3Ga4Rh4 after structural relaxation from Alexandria. Energies are from GGA-PBE.

## Properties
Energy relative to the elements (meV/atom): -772.0
Total magnetization (μB/f.u.): 0.000
SG: P-1 (2)
Crystal system: triclinic

Cell and atoms, written as extended XYZ:
```
11
Lattice="4.3307 -0.0060 0.6968 -0.0613 3.9567 0.4084 0.1853 0.6657 12.8897" Properties=species:S:1:pos:R:3 pbc="T T T"
Ga 3.5382 1.4563 5.7404
Ga 1.9343 1.8418 1.8030
Ga 2.5202 2.7747 12.1918
Ga 0.9164 3.1602 8.2544
Sm 2.9228 1.0552 9.5640
Sm 1.5318 3.5613 4.4308
Sm 4.3306 -0.0059 0.6968
Rh 3.9171 1.7139 3.2899
Rh 0.5374 2.9025 10.7050
Rh 3.2816 3.2859 7.3583
Rh 1.1730 1.3305 6.6365
```

***

Entry 5:
Here is BC3 after structural relaxation from Alexandria. Energies are from GGA-PBE.

## Properties
Energy relative to the elements (meV/atom): 285.2
Total magnetization (μB/f.u.): 0.000
SG: Pmm2 (25)
Crystal system: orthorhombic

Cell and atoms, written as extended XYZ:
```
12
Lattice="2.5245 0.0000 0.0000 0.0000 2.5202 0.0000 0.0000 0.0000 11.6594" Properties=species:S:1:pos:R:3 pbc="T T T"
B 1.2622 1.2601 1.9900
B 0.0000 0.0000 7.7002
B 1.2622 1.2601 9.7360
C 1.2622 0.0000 6.5992
C 0.0000 0.0000 0.0586
C 0.0000 1.2601 8.7237
C 1.2622 1.2601 5.7388
C 0.0000 1.2601 0.9468
C 1.2622 0.0000 3.0512
C 0.0000 1.2601 4.8260
C 0.0000 0.0000 3.9160
C 1.2622 0.0000 10.8401
```

***

Entry 6:
Here is Ca4NdAu5 after structural relaxation from Alexandria. Energies are from GGA-PBE.

## Properties
Energy relative to the elements (meV/atom): -785.4
Total magnetization (μB/f.u.): 0.000
SG: P4/mmm (123)
Crystal system: tetragonal

Cell and atoms, written as extended XYZ:
```
10
Lattice="3.6811 0.0000 0.0000 0.0000 3.6811 0.0000 0.0000 0.0000 18.0902" Properties=species:S:1:pos:R:3 pbc="T T T"
Au 1.8406 1.8406 5.4701
Au 1.8406 1.8406 12.6201
Au 1.8406 1.8406 9.0451
Au 1.8406 1.8406 16.3087
Au 1.8406 1.8406 1.7816
Nd 0.0000 0.0000 0.0000
Ca 0.0000 0.0000 7.2622
Ca 0.0000 0.0000 14.4145
Ca 0.0000 0.0000 3.6757
Ca 0.0000 0.0000 10.8281
```

***

Entry 7:
Here is Li4Y3USe8 after structural relaxation from Alexandria. Energies are from GGA-PBE.

## Properties
Total magnetization (μB/f.u.): 2.972
SG: R-3m (166)
Crystal system: trigonal
Formation energy without anion corrections (eV/atom): -1.558

Cell and atoms, written as extended XYZ:
```
16
Lattice="8.1447 0.0000 0.0000 0.0000 8.0362 -0.0837 -4.0724 -4.0666 5.7637" Properties=species:S:1:pos:R:3 pbc="T T T"
Se 4.0724 4.0163 2.8344
Se 2.0294 -2.0897 5.7255
Se 0.0000 4.0192 2.8460
Se 2.0429 6.0593 -0.0454
Se 0.0000 -0.0467 2.8457
Se -2.0294 -2.0897 5.7255
Se 6.1018 6.0593 -0.0454
Se 4.0724 -0.0496 2.8340
Li 0.0000 0.0000 0.0000
Li -2.0362 -2.0333 2.8819
Li 4.0724 0.0000 0.0000
Li 2.0362 -2.0333 2.8819
Y -2.0362 1.9848 2.8400
Y 4.0724 4.0181 -0.0418
Y 2.0362 1.9848 2.8400
U 0.0000 4.0181 -0.0418
```

***

Entry 8:
Here is TiNbPd6 after structural relaxation from Alexandria. Energies are from GGA-PBE.

## Properties
Energy relative to the elements (meV/atom): -458.2
Total magnetization (μB/f.u.): 1.159
SG: P4/mmm (123)
Crystal system: tetragonal

Cell and atoms, written as extended XYZ:
```
8
Lattice="3.9579 0.0000 0.0000 0.0000 3.9579 0.0000 0.0000 0.0000 7.9109" Properties=species:S:1:pos:R:3 pbc="T T T"
Pd 1.9790 0.0000 5.9481
Pd 0.0000 1.9790 1.9628
Pd 1.9790 1.9790 3.9554
Pd 0.0000 1.9790 5.9481
Pd 1.9790 1.9790 0.0000
Pd 1.9790 0.0000 1.9628
Ti 0.0000 0.0000 0.0000
Nb 0.0000 0.0000 3.9554
```

***

Entry 9:
Here is LaPmNiRu after structural relaxation from Alexandria. Energies are from GGA-PBE.

## Properties
Energy relative to the elements (meV/atom): -193.4
Total magnetization (μB/f.u.): 0.000
SG: F-43m (216)
Crystal system: cubic

Cell and atoms, written as extended XYZ:
```
4
Lattice="-3.1579 -0.5838 -3.8083 -4.8451 -0.7576 0.8756 -3.3104 3.5684 -1.0602" Properties=species:S:1:pos:R:3 pbc="T T T"
Ni -2.8284 0.5567 -0.9982
Ru -8.4851 1.6702 -2.9946
Pm -5.6567 1.1135 -1.9964
La 0.0000 0.0000 0.0000
```

***

Entry 10:
Here is CsZn4B3O9 after structural relaxation from Alexandria. Energies are from GGA-PBE.

## Properties
Total magnetization (μB/f.u.): 0.000
SG: P2/c (13)
Crystal system: monoclinic
Formation energy without anion corrections (eV/atom): -1.956

Cell and atoms, written as extended XYZ:
```
34
Lattice="-1.0142 2.2872 -4.4137 1.3639 -5.9773 -3.4108 -12.4457 -4.2017 0.6825" Properties=species:S:1:pos:R:3 pbc="T T T"
O -0.2974 -2.6647 -5.9582
O -11.7986 -5.2272 -1.1838
O -6.1774 -1.7696 -4.1433
O -0.9739 -0.4928 -3.5398
O -10.6300 -7.8414 -5.9260
O -8.1720 -1.0617 -2.9776
O -11.1221 -7.3991 -3.6022
O -1.4660 -0.0504 -1.2161
O -1.5979 -3.5953 -3.1642
O -5.1052 -4.8337 -4.8399
O -3.3156 -2.0407 -5.3911
O -6.9908 -3.0581 -2.3021
O -8.2547 -4.7175 -4.7115
O -8.7804 -5.8511 -1.7509
O -3.9240 -6.8302 -4.1645
O -10.4981 -4.2965 -3.9778
O -5.9186 -6.1222 -2.9987
O -3.8414 -3.1743 -2.4305
B -7.1499 -1.9310 -3.1490
B -11.4734 -7.3751 -4.9766
B -4.9461 -5.9608 -3.9930
B -9.5151 -4.1943 -4.9481
B -2.5809 -3.6975 -2.1939
B -0.6226 -0.5167 -2.1654
Cs -9.5935 -2.5666 -0.6164
Cs -3.8663 0.6521 -3.1148
Zn -12.2636 -3.3153 -3.7634
Zn -6.7326 -5.1499 -5.9850
Zn -7.4475 -4.8812 -2.8890
Zn -4.6485 -3.0106 -4.2530
Zn -10.5774 -5.7743 -2.6326
Zn -1.5186 -2.1175 -4.5094
Zn -5.3634 -2.7420 -1.1570
Zn 0.1676 -4.5765 -3.3786
```

***

Entry 11:
Here is Tm2CuIrO6 after structural relaxation from Alexandria. Energies are from GGA-PBE.

## Properties
Total magnetization (μB/f.u.): 1.659
SG: R3 (146)
Crystal system: trigonal
Formation energy without anion corrections (eV/atom): -2.073

Cell and atoms, written as extended XYZ:
```
10
Lattice="-1.0906 -2.8361 4.5368 -1.6559 -5.1906 -0.3570 3.6558 -4.1470 1.5717" Properties=species:S:1:pos:R:3 pbc="T T T"
O -0.8925 -6.5846 0.9825
O 1.8551 -5.7012 4.2924
O -0.0660 -3.7705 2.9888
O -1.1015 -6.8029 4.5230
O 1.1740 -7.9838 2.9270
O 1.9498 -5.7394 1.5488
Cu -0.0536 -8.8935 4.2846
Tm 3.3658 -4.0537 1.5604
Tm 0.0633 -5.9608 2.8605
Ir -0.7630 -2.7248 1.3992
```

***

D(E_F) in states/eV/f.u., matching the order above: 3.543; 4.792; 4.902; 7.359; 0.807; 6.372; 7.825; 7.696; 4.627; 0.000; 7.879